Material: KV2BiO8
Method: DFT, PBE+U
State: optimized geometry

Results
- uncorrected energy (eV/cell) = -78.268
- magnetic moment (μB/atom) = 0.000

a b c (Å): 5.4410 5.4410 8.0299
angles (deg): 90.00 90.00 120.00
Space group P-3 (No. 147)
One atom of each set of equivalent atoms:
K 0.0000 0.0000 0.0000 (multiplicity 1)
V 0.3333 0.6667 0.7270 (multiplicity 2)
Bi 0.0000 0.0000 0.5000 (multiplicity 1)
O 0.0489 0.3294 0.6633 (multiplicity 6)
O 0.3333 0.6667 0.9318 (multiplicity 2)